[1]
This record from Alexandria via LeMat-Bulk describes a relaxed NiOs2Pb crystal. The functional is PBE-GGA.

## Properties
Formation energy from the elements = 855 meV per atom
Magnetic moment = 0.00 μB/f.u.

Lattice parameters (Å, degrees): 2.8913 4.6291 4.7768 90.00 90.00 90.00
Space group Pmmm (No. 47)
One atom of each set of equivalent atoms:
Ni1 0.0000 0.0000 0.0000
Os1 0.0000 0.5000 0.5000
Os2 0.5000 0.0000 0.5000
Pb1 0.5000 0.5000 0.0000

[2]
This record from Alexandria via LeMat-Bulk describes a relaxed Ca3Al3Zn8 crystal. The functional is PBE-GGA.

## Properties
Formation energy from the elements = -260 meV per atom
Magnetic moment = 0.00 μB/f.u.

Lattice parameters (Å, degrees): 4.3325 9.5428 12.9546 90.00 90.00 90.00
Space group Immm (No. 71)
One atom of each set of equivalent atoms:
Ca1 0.0000 0.0000 0.0000
Ca2 0.0000 0.0000 0.3015
Al1 0.0000 0.2010 0.5000
Al2 0.0000 0.5000 0.0000
Zn1 0.0000 0.2808 0.1337
Zn2 0.0000 0.3626 0.3355

[3]
This record from Alexandria via LeMat-Bulk describes a relaxed NaLiIn4 crystal. The functional is PBE-GGA.

## Properties
Formation energy from the elements = -96 meV per atom
E above lowest polymorph = 2.82 kJ/mol of atoms
Magnetic moment = 0.00 μB/f.u.

Lattice parameters (Å, degrees): 14.4735 7.5458 5.8148 90.00 105.98 90.00
Space group C2/m (No. 12)
One atom of each set of equivalent atoms:
Na1 0.2151 0.0000 0.1441
Li1 0.0434 0.5000 0.7596
In1 0.0000 0.1955 0.0000
In2 0.1169 0.1982 0.5755
In3 0.1685 0.5000 0.2626

[4]
This record from Alexandria via LeMat-Bulk describes a relaxed Ti3PtN crystal. The functional is PBE-GGA.

## Properties
DFT total energy = -8.485 eV per atom
Magnetic moment = 0.00 μB/f.u.

Lattice parameters (Å, degrees): 4.4434 11.0545 6.2118 90.00 90.00 90.00
Space group Imma (No. 74)
One atom of each set of equivalent atoms:
Ti1 0.0000 0.1176 0.1205
Ti2 0.0000 0.2500 0.5923
Pt1 0.0000 0.0000 0.5000
N1 0.0000 0.2500 0.9085

[5]
This record from Alexandria via LeMat-Bulk describes a relaxed K2MgIn4Ge3 crystal. The functional is PBE-GGA.

## Properties
Formation energy from the elements = -72 meV per atom
Magnetic moment = 0.00 μB/f.u.

Lattice parameters (Å, degrees): 4.8799 4.8799 11.7665 90.00 90.00 90.00
Space group P-4m2 (No. 115)
One atom of each set of equivalent atoms:
K1 0.0000 0.5000 0.2457
Mg1 0.0000 0.0000 0.5000
In1 0.0000 0.0000 0.0000
In2 0.0000 0.5000 0.6373
In3 0.5000 0.5000 0.0000
Ge1 0.0000 0.5000 0.8707
Ge2 0.5000 0.5000 0.5000

[6]
This record from Alexandria via LeMat-Bulk describes a relaxed Al2CdHg2 crystal. The functional is PBE-GGA.

## Properties
Formation energy from the elements = 173 meV per atom
E above lowest polymorph = 1.89 kJ/mol of atoms
Magnetic moment = 0.00 μB/f.u.

Lattice parameters (Å, degrees): 4.1417 4.1417 12.9936 90.00 90.00 90.00
Space group I4/mmm (No. 139)
One atom of each set of equivalent atoms:
Al1 0.0000 0.5000 0.2500
Cd1 0.0000 0.0000 0.0000
Hg1 0.0000 0.0000 0.3919